Below is an optimized crystal structure of PrI, with properties calculated at the GGA-PBE level.

abc: 4.310 4.310 7.344
angles: 90.00 90.00 90.00
Element x y z (fractional)
I 0.750 0.750 0.669
Pr 0.250 0.250 0.843
Pr 0.750 0.750 0.157
I 0.250 0.250 0.331

Properties
The total energy is -4.05 eV/atom.